# 1
A relaxed structure of SrLaAs2. Source: Alexandria via LeMat-Bulk, functional GGA-PBE.

Computed properties:
- Energy above the lowest structure with this stoichiometry: 0.58 eV per formula unit
- Calculated total energy: -0.1848 Ha/atom
- Fermi-level density of states: 3.4 states/eV per cell
- SG: Cmmm
- V: 111.50 Å³ per cell
- Magnetization: 0.000 μB per atom

Cell: 3.7740 3.7740 7.9559 Å, 90.00 90.00 100.26°
With the nearest neighbours (Å) after each atom.
Fractional positions:
Sr (0.0000, 0.0000, 0.0000)  8 As 3.19-3.57
La (0.0000, 0.0000, 0.5000)  4 As 3.07
As (0.5000, 0.5000, 0.2617)  2 La 3.07, 2 Sr 3.19
As (0.5000, 0.5000, 0.7383)  2 La 3.07, 2 Sr 3.19

# 2
A relaxed structure of Sr3LaAs. Source: Alexandria via LeMat-Bulk, functional GGA-PBE.

Computed properties:
- Energy above the lowest structure with this stoichiometry: 5.78 eV per formula unit
- Calculated total energy: -0.0742 Ha/atom
- Fermi-level density of states: 8.4 states/eV per cell
- SG: Pm-3m
- V: 215.33 Å³ per cell
- Magnetization: 0.163 μB per atom

Cell: 5.9938 5.9938 5.9938 Å, 90.00 90.00 90.00°
With the nearest neighbours (Å) after each atom.
Fractional positions:
Sr (0.0000, 0.0000, 0.5000)  2 La 3.00
Sr (0.0000, 0.5000, 0.0000)  2 La 3.00
Sr (0.5000, 0.0000, 0.0000)  2 La 3.00
La (0.0000, 0.0000, 0.0000)  6 Sr 3.00
As (0.5000, 0.5000, 0.5000)  12 Sr 4.24

# 3
A relaxed structure of Sr2LaAs. Source: Alexandria via LeMat-Bulk, functional GGA-PBE.

Computed properties:
- Calculated total energy: -0.1425 Ha/atom
- Fermi-level density of states: 4.6 states/eV per cell
- SG: R3m
- V: 173.63 Å³ per cell
- Magnetization: 0.154 μB per atom

Cell: 11.0279 11.0279 11.0279 Å, 22.59 22.59 22.59°
With the nearest neighbours (Å) after each atom.
Fractional positions:
Sr (0.0000, 0.0000, 0.0000)  3 As 3.13
Sr (0.2174, 0.2174, 0.2174)  3 La 4.31, 9 Sr 4.32-4.49
La (0.4418, 0.4418, 0.4418)  3 As 2.96
As (0.7254, 0.7254, 0.7254)  3 La 2.96, 3 Sr 3.13

# 4
A relaxed structure of Sr2LaAs. Source: Alexandria via LeMat-Bulk, functional GGA-PBE.

Computed properties:
- Calculated total energy: -0.1382 Ha/atom
- Fermi-level density of states: 4.4 states/eV per cell
- SG: Amm2
- V: 161.00 Å³ per cell
- Magnetization: 0.043 μB per atom

Cell: 4.2089 8.3156 8.3156 Å, 33.59 90.00 90.00°
With the nearest neighbours (Å) after each atom.
Fractional positions:
Sr (0.0000, 0.0000, 0.0000)  1 As 3.27
Sr (0.5000, 0.3392, 0.3392)  4 As 3.27
La (0.5000, 0.6616, 0.6616)  2 As 2.99
As (0.0000, 0.7949, 0.7949)  2 La 2.99, 5 Sr 3.27

# 5
A relaxed structure of SrLa3As4. Source: Alexandria via LeMat-Bulk, functional GGA-PBE.

Computed properties:
- Calculated total energy: -0.2122 Ha/atom
- Fermi-level density of states: 14.4 states/eV per cell
- SG: P2/c
- V: 483.19 Å³ per cell
- Magnetization: 0.000 μB per atom

Cell: 7.6303 8.8018 7.6347 Å, 90.00 109.55 90.00°
With the nearest neighbours (Å) after each atom.
Fractional positions:
Sr (0.0000, 0.1243, 0.2500)  6 As 3.17-3.20
Sr (0.0000, 0.8757, 0.7500)  6 As 3.17-3.20
La (0.0000, 0.3737, 0.7500)  6 As 3.09-3.11
La (0.0000, 0.6263, 0.2500)  6 As 3.09-3.11
La (0.5000, 0.1238, 0.7500)  6 As 3.04-3.13
La (0.5000, 0.3743, 0.2500)  6 As 3.04-3.14
La (0.5000, 0.6257, 0.7500)  6 As 3.04-3.14
La (0.5000, 0.8762, 0.2500)  6 As 3.04-3.13
As (0.2520, 0.3806, 0.5060)  5 La 3.06-3.14, 1 Sr 3.18
As (0.2520, 0.6194, 0.0060)  5 La 3.06-3.14, 1 Sr 3.18
As (0.2611, 0.1309, 0.9980)  4 La 3.04-3.11, 2 Sr 3.17-3.20
As (0.2611, 0.8691, 0.4980)  4 La 3.04-3.11, 2 Sr 3.17-3.20
As (0.7389, 0.1309, 0.5020)  4 La 3.04-3.11, 2 Sr 3.17-3.20
As (0.7389, 0.8691, 0.0020)  4 La 3.04-3.11, 2 Sr 3.17-3.20
As (0.7480, 0.3806, 0.9940)  5 La 3.06-3.14, 1 Sr 3.18
As (0.7480, 0.6194, 0.4940)  5 La 3.06-3.14, 1 Sr 3.18

# 6
A relaxed structure of Sr2LaAs. Source: Alexandria via LeMat-Bulk, functional GGA-PBE.

Computed properties:
- Calculated total energy: -0.1403 Ha/atom
- Fermi-level density of states: 3.3 states/eV per cell
- SG: Immm
- V: 161.20 Å³ per cell
- Magnetization: 0.000 μB per atom

Cell: 9.2655 9.2655 9.2655 Å, 154.99 151.31 38.42°
With the nearest neighbours (Å) after each atom.
Fractional positions:
Sr (0.1659, 0.1659, 0.0000)  2 As 3.53, 2 La 3.70
Sr (0.8341, 0.8341, 0.0000)  2 As 3.53, 2 La 3.70
La (0.5000, 0.0000, 0.5000)  4 As 3.05
As (0.0000, 0.5000, 0.5000)  4 La 3.05

# 7
A relaxed structure of SrLaAs3. Source: Alexandria via LeMat-Bulk, functional GGA-PBE.

Computed properties:
- Energy above the lowest structure with this stoichiometry: 1.70 eV per formula unit
- Calculated total energy: -0.1474 Ha/atom
- Fermi-level density of states: 3.7 states/eV per cell
- SG: Pm-3m
- V: 159.39 Å³ per cell
- Magnetization: 0.000 μB per atom

Cell: 5.4220 5.4220 5.4220 Å, 90.00 90.00 90.00°
With the nearest neighbours (Å) after each atom.
Fractional positions:
Sr (0.0000, 0.0000, 0.0000)  6 As 2.71
La (0.5000, 0.5000, 0.5000)  12 As 3.83
As (0.0000, 0.0000, 0.5000)  2 Sr 2.71
As (0.0000, 0.5000, 0.0000)  2 Sr 2.71
As (0.5000, 0.0000, 0.0000)  2 Sr 2.71

# 8
A relaxed structure of SrLaAs2. Source: Alexandria via LeMat-Bulk, functional GGA-PBE.

Computed properties:
- Energy above the lowest structure with this stoichiometry: 0.58 eV per formula unit
- Calculated total energy: -0.1848 Ha/atom
- Fermi-level density of states: 1.4 states/eV per cell
- SG: C2/m
- V: 105.65 Å³ per cell
- Magnetization: 0.046 μB per atom

Cell: 5.6198 5.6198 3.3453 Å, 90.07 90.07 89.99°
With the nearest neighbours (Å) after each atom.
Fractional positions:
Sr (0.0000, 0.0000, 0.0000)  8 As 3.27, 2 Sr 3.35
La (0.5000, 0.5000, 0.0000)  8 As 3.27, 2 La 3.35
As (0.0000, 0.5000, 0.5000)  4 La 3.27, 4 Sr 3.27, 2 As 3.35
As (0.5000, 0.0000, 0.5000)  4 La 3.27, 4 Sr 3.27, 2 As 3.35

# 9
A relaxed structure of SrLaAs3. Source: Alexandria via LeMat-Bulk, functional GGA-PBE.

Computed properties:
- Energy above the lowest structure with this stoichiometry: 0.00 eV per formula unit
- Calculated total energy: -0.1599 Ha/atom
- Fermi-level density of states: 6.2 states/eV per cell
- SG: Pm-3m
- V: 175.65 Å³ per cell
- Magnetization: 0.000 μB per atom

Cell: 5.6003 5.6003 5.6003 Å, 90.00 90.00 90.00°
With the nearest neighbours (Å) after each atom.
Fractional positions:
Sr (0.0000, 0.0000, 0.0000)  12 As 3.96
La (0.5000, 0.5000, 0.5000)  6 As 2.80
As (0.0000, 0.5000, 0.5000)  2 La 2.80
As (0.5000, 0.0000, 0.5000)  2 La 2.80
As (0.5000, 0.5000, 0.0000)  2 La 2.80

# 10
A relaxed structure of SrLaAs2. Source: Alexandria via LeMat-Bulk, functional GGA-PBE.

Computed properties:
- Energy above the lowest structure with this stoichiometry: 3.43 eV per formula unit
- Calculated total energy: -0.1587 Ha/atom
- Fermi-level density of states: 4.3 states/eV per cell
- SG: F-43m
- V: 102.95 Å³ per cell
- Magnetization: 0.000 μB per atom

Cell: 5.2607 5.2607 5.2607 Å, 60.00 60.00 60.00°
With the nearest neighbours (Å) after each atom.
Fractional positions:
Sr (0.0000, 0.0000, 0.0000)  4 La 3.22, 4 As 3.22
La (0.7500, 0.7500, 0.7500)  4 As 3.22, 4 Sr 3.22
As (0.2500, 0.2500, 0.2500)  4 As 3.22, 4 Sr 3.22
As (0.5000, 0.5000, 0.5000)  4 La 3.22, 4 As 3.22

# 11
A relaxed structure of SrLaAs2. Source: Alexandria via LeMat-Bulk, functional GGA-PBE.

Computed properties:
- Energy above the lowest structure with this stoichiometry: 0.91 eV per formula unit
- Calculated total energy: -0.1818 Ha/atom
- Fermi-level density of states: 1.8 states/eV per cell
- SG: Imm2
- V: 109.71 Å³ per cell
- Magnetization: 0.000 μB per atom

Cell: 6.4917 6.4917 6.4917 Å, 140.53 140.49 57.08°
With the nearest neighbours (Å) after each atom.
Fractional positions:
Sr (0.0000, 0.0000, 0.0000)  4 As 3.10
La (0.7498, 0.2498, 0.5000)  4 As 3.10
As (0.2507, 0.7507, 0.5000)  4 La 3.10
As (0.5018, 0.5018, 0.0000)  4 Sr 3.10

# 12
A relaxed structure of Sr2LaAs. Source: Alexandria via LeMat-Bulk, functional GGA-PBE.

Computed properties:
- Calculated total energy: -0.1379 Ha/atom
- Fermi-level density of states: 4.3 states/eV per cell
- SG: Cm
- V: 167.35 Å³ per cell
- Magnetization: 0.001 μB per atom

Cell: 7.1158 7.1158 6.9481 Å, 118.74 118.74 33.37°
With the nearest neighbours (Å) after each atom.
Fractional positions:
Sr (0.0000, 0.0000, 0.0000)  2 As 3.22
Sr (0.1784, 0.1784, 0.6903)  2 As 3.16
La (0.3523, 0.3523, 0.3496)  2 As 2.93
As (0.6946, 0.6946, 0.0524)  2 La 2.93, 4 Sr 3.16-3.22